{
  "formula": "ScNbNF2",
  "functional": "PBEsol",
  "state": "relaxed",
  "cell": [[4.132, 0.000, 0.000], [0.000, 4.132, 0.000], [0.000, 0.000, 4.097]],
  "species": ["Sc", "Nb", "N", "F", "F"],
  "frac_coords": [[0.000, 0.000, 0.000], [0.500, 0.500, 0.500], [0.500, 0.500, 0.000], [0.000, 0.500, 0.500], [0.500, 0.000, 0.500]],
  "magnetic_moment_mub_per_cell": 1.973,
  "e_form_raw_mev_per_atom": -1302,
  "dft_energy_ev_per_atom": -7.264
}